# 1
DFT (PBE) results for an optimized crystal structure of Dy3Tm3Cu2Tc.

Calculated values
Energy of formation   -0.163 eV per atom
E_tot   -5.25 eV per atom
Symmetry   P-62m (189)
Volume   24.15 Å³ per atom
M_tot   0.00 μB/f.u.

Cell lengths 7.3123, 7.3123, 4.6937 Å; angles 90.00, 90.00, 120.00 degrees
With the nearest neighbours (Å) after each atom.
Sites, in units of the cell vectors:
Dy (0.0000, 0.4019, 0.0000)  1 Tc 2.94, 4 Cu 3.24
Dy (0.4019, 0.0000, 0.0000)  1 Tc 2.94, 4 Cu 3.24
Dy (0.5981, 0.5981, 0.0000)  1 Tc 2.94, 4 Cu 3.24
Tm (0.0000, 0.7436, 0.5000)  2 Cu 2.76, 2 Tc 3.00
Tm (0.2564, 0.2564, 0.5000)  2 Cu 2.76, 2 Tc 3.00
Tm (0.7436, 0.0000, 0.5000)  2 Cu 2.76, 2 Tc 3.00
Cu (0.3333, 0.6667, 0.5000)  3 Tm 2.76
Cu (0.6667, 0.3333, 0.5000)  3 Tm 2.76
Tc (0.0000, 0.0000, 0.0000)  3 Dy 2.94, 6 Tm 3.00

# 2
DFT (PBE) results for an optimized crystal structure of Zr2GeSe2.

Calculated values
Relative energy among the computed polymorphs   0.00 eV/f.u.
Formation energy from raw total energies   -0.898 eV/atom
E_tot   -6.63 eV per atom
Symmetry   P4/mbm (127)
Volume   20.21 Å³ per atom
M_tot   0.00 μB/f.u.

Cell lengths 7.6087, 7.6087, 3.4912 Å; angles 90.00, 90.00, 90.00 degrees
With the nearest neighbours (Å) after each atom.
Sites, in units of the cell vectors:
Zr (0.1535, 0.3465, 0.0000)  6 Se 2.83-2.84, 2 Ge 2.88
Zr (0.3465, 0.8465, 0.0000)  6 Se 2.83-2.84, 2 Ge 2.88
Zr (0.6535, 0.1535, 0.0000)  6 Se 2.83-2.84, 2 Ge 2.88
Zr (0.8465, 0.6535, 0.0000)  6 Se 2.83-2.84, 2 Ge 2.88
Ge (0.0000, 0.0000, 0.0000)  4 Zr 2.88
Ge (0.5000, 0.5000, 0.0000)  4 Zr 2.88
Se (0.1384, 0.6384, 0.5000)  6 Zr 2.83-2.84, 1 Se 2.98
Se (0.3616, 0.1384, 0.5000)  6 Zr 2.83-2.84, 1 Se 2.98
Se (0.6384, 0.8616, 0.5000)  6 Zr 2.83-2.84, 1 Se 2.98
Se (0.8616, 0.3616, 0.5000)  6 Zr 2.83-2.84, 1 Se 2.98

# 3
DFT (PBE) results for an optimized crystal structure of Ti5Ga2Tc.

Calculated values
Energy of formation   -0.396 eV per atom
E_tot   -7.38 eV per atom
Symmetry   I4/mmm (139)
Volume   15.85 Å³ per atom
M_tot   0.00 μB/f.u.

Cell lengths 6.7774, 6.7774, 6.7774 Å; angles 140.13, 140.13, 57.66 degrees
With the nearest neighbours (Å) after each atom.
Sites, in units of the cell vectors:
Ti (0.0000, 0.0000, 0.0000)  8 Ti 2.72, 2 Ga 2.97
Ti (0.1206, 0.6206, 0.5000)  2 Tc 2.72, 3 Ti 2.72-2.86, 4 Ga 2.77-2.78
Ti (0.3794, 0.8794, 0.5000)  3 Ti 2.72-2.86, 2 Tc 2.72, 4 Ga 2.77-2.78
Ti (0.6206, 0.1206, 0.5000)  2 Tc 2.72, 3 Ti 2.72-2.86, 4 Ga 2.77-2.78
Ti (0.8794, 0.3794, 0.5000)  3 Ti 2.72-2.86, 2 Tc 2.72, 4 Ga 2.77-2.78
Ga (0.2504, 0.2504, 0.0000)  9 Ti 2.77-2.97, 1 Tc 2.96
Ga (0.7496, 0.7496, 0.0000)  9 Ti 2.77-2.97, 1 Tc 2.96
Tc (0.5000, 0.5000, 0.0000)  8 Ti 2.72, 2 Ga 2.96

> Which value of M_tot does entry 1 give?

0.00 μB/f.u.

> Among the records above, which one has the lowest volume?

Ti5Ga2Tc

> Among the records above, which one has the highest E_tot?

Dy3Tm3Cu2Tc